Density functional theory data (PBE) for crystalline Al2RePb at its relaxed geometry.

abc: 10.205 10.205 10.205
angles: 16.91 16.91 16.91
Fractional coordinates of all 4 atoms:
Al1 0.265 0.265 0.265
Al2 0.007 0.007 0.007
Pb1 0.489 0.489 0.489
Re1 0.739 0.739 0.739

=====

Density functional theory data (PBE) for crystalline AlRe2Pb at its relaxed geometry.

abc: 4.986 4.986 4.986
angles: 131.49 131.49 71.04
Fractional coordinates of all 4 atoms:
Re1 0.500 0.500 0.000
Re2 0.000 0.000 0.000
Pb1 0.750 0.250 0.500
Al1 0.250 0.750 0.500

Calculated values
energy relative to the lowest polymorph listed for this composition = 0.6630 eV per atom

=====

Density functional theory data (PBE) for crystalline AlRe2Pb at its relaxed geometry.

abc: 5.478 5.478 5.478
angles: 145.97 131.55 60.53
Fractional coordinates of all 4 atoms:
Pb1 0.247 0.747 0.500
Re1 0.748 0.248 0.500
Re2 0.983 0.983 0.000
Al1 0.522 0.522 0.000

Calculated values
energy relative to the lowest polymorph listed for this composition = 0.4565 eV per atom

=====

Density functional theory data (PBE) for crystalline AlRe2Pb at its relaxed geometry.

abc: 4.414 4.414 6.466
angles: 77.46 77.46 41.43
Fractional coordinates of all 4 atoms:
Pb1 0.252 0.252 0.238
Al1 0.495 0.495 0.572
Re1 0.006 0.006 0.914
Re2 0.747 0.747 0.777

Calculated values
energy relative to the lowest polymorph listed for this composition = 0.3392 eV per atom

=====

Density functional theory data (PBE) for crystalline AlRe2Pb at its relaxed geometry.

abc: 2.958 3.783 6.662
angles: 90.00 90.00 90.00
Fractional coordinates of all 4 atoms:
Al1 0.500 0.500 0.250
Re1 0.000 0.000 0.073
Re2 0.000 0.000 0.427
Pb1 0.500 0.500 0.750

Calculated values
energy relative to the lowest polymorph listed for this composition = 0.3709 eV per atom

=====

Density functional theory data (PBE) for crystalline AlRePb4 at its relaxed geometry.

abc: 6.291 6.291 6.291
angles: 60.00 60.00 60.00
Site moments in Bohr magnetons follow the coordinates.
Fractional coordinates of all 6 atoms:
Pb1 0.874 0.375 0.375  -0.03
Al1 0.000 0.000 0.000  0.00
Pb2 0.375 0.375 0.375  -0.03
Pb3 0.375 0.874 0.375  -0.03
Re1 0.750 0.750 0.750  2.94
Pb4 0.375 0.375 0.874  -0.03

=====

The evaluated raw total energy for the records listed, in turn: -21.91 -28.79 -29.62 -30.08 -29.96 -23.77 eV per cell.
The evaluated DFT formation energy for the records listed, in turn: 0.43 0.89 0.68 0.57 0.60 1.21 eV per atom.